1.
DFT (PBE) results for a relaxed structure of Na2LaTlZn.

## Properties
ΔH_f (0 K) ... 0.331 eV/atom
Crystal system ... tetragonal
Calculated total energy ... -9.6 eV for the cell shown
Spin magnetization ... 0.00 μB/atom

Unit cell a=5.695 b=6.092 c=5.695 alpha=90.00 beta=90.00 gamma=90.00
Positions (direct):
1 Na 0.000 0.000 0.500
2 Na 0.500 0.000 0.000
3 Tl 0.000 0.000 0.000
4 Zn 0.500 0.500 0.500
5 La 0.000 0.500 0.000

***

2.
DFT (PBE) results for a relaxed structure of Na2LaZrTl.

## Properties
ΔH_f (0 K) ... 0.834 eV/atom
Crystal system ... tetragonal
Calculated total energy ... -14.3 eV for the cell shown
Spin magnetization ... 0.13 μB/atom

Unit cell a=5.906 b=5.460 c=5.906 alpha=90.00 beta=90.00 gamma=90.00
Each line ends with the local moment (μB).
Positions (direct):
1 Na 0.000 0.000 0.500  0.00
2 Na 0.500 0.000 0.000  0.01
3 Tl 0.500 0.500 0.500  0.01
4 Zr 0.000 0.000 0.000  0.27
5 La 0.000 0.500 0.000  0.04

***

3.
DFT (PBE) results for a relaxed structure of NaLaTm.

## Properties
ΔH_f (0 K) ... 0.163 eV/atom
Crystal system ... tetragonal
Calculated total energy ... -10.2 eV for the cell shown
Spin magnetization ... 0.14 μB/atom
Polymorph energy (0 for the lowest one) ... 30 meV per atom

Unit cell a=3.585 b=3.585 c=8.533 alpha=102.13 beta=102.13 gamma=90.00
Each line ends with the local moment (μB).
Positions (direct):
1 Na 0.996 0.996 0.992  0.00
2 Tm 0.327 0.327 0.654  0.20
3 La 0.677 0.677 0.354  0.09

***

4.
DFT (PBE) results for a relaxed structure of NaLaTm.

## Properties
ΔH_f (0 K) ... 0.133 eV/atom
Crystal system ... trigonal
Calculated total energy ... -10.3 eV for the cell shown
Spin magnetization ... 0.00 μB/atom
Polymorph energy (0 for the lowest one) ... 0 meV per atom

Unit cell a=3.580 b=3.580 c=9.322 alpha=90.00 beta=90.00 gamma=120.00
Positions (direct):
1 Na 0.000 0.000 0.007
2 Tm 0.667 0.333 0.346
3 La 0.333 0.667 0.647

***

5.
DFT (PBE) results for a relaxed structure of NaLaTm.

## Properties
ΔH_f (0 K) ... 0.147 eV/atom
Crystal system ... trigonal
Calculated total energy ... -20.6 eV for the cell shown
Spin magnetization ... 0.08 μB/atom
Polymorph energy (0 for the lowest one) ... 13 meV per atom

Unit cell a=3.497 b=3.497 c=19.365 alpha=84.82 beta=84.82 gamma=60.00
Each line ends with the local moment (μB).
Positions (direct):
1 Tm 0.690 0.690 0.930  0.17
2 Tm 0.310 0.310 0.070  0.17
3 Na 0.862 0.862 0.414  0.00
4 Na 0.138 0.138 0.586  0.00
5 La 0.748 0.748 0.756  0.03
6 La 0.252 0.252 0.244  0.03

***

6.
DFT (PBE) results for a relaxed structure of NaLa2Tm.

## Properties
ΔH_f (0 K) ... 0.123 eV/atom
Crystal system ... trigonal
Calculated total energy ... -15.2 eV for the cell shown
Spin magnetization ... 0.00 μB/atom
Polymorph energy (0 for the lowest one) ... 20 meV per atom

Unit cell a=3.588 b=3.588 c=13.190 alpha=82.18 beta=82.18 gamma=60.00
Positions (direct):
1 Na 0.000 0.000 0.000
2 Tm 0.500 0.500 0.500
3 La 0.093 0.093 0.721
4 La 0.907 0.907 0.279

***

7.
DFT (PBE) results for a relaxed structure of NaLa2Tm.

## Properties
ΔH_f (0 K) ... 0.175 eV/atom
Crystal system ... tetragonal
Calculated total energy ... -14.9 eV for the cell shown
Spin magnetization ... 0.00 μB/atom
Polymorph energy (0 for the lowest one) ... 72 meV per atom

Unit cell a=3.785 b=6.041 c=6.041 alpha=90.00 beta=90.00 gamma=90.00
Positions (direct):
1 Na 0.500 0.000 0.000
2 Tm 0.500 0.500 0.500
3 La 0.000 0.000 0.500
4 La 0.000 0.500 0.000

***

8.
DFT (PBE) results for a relaxed structure of NaLa2Tm.

## Properties
ΔH_f (0 K) ... 0.103 eV/atom
Crystal system ... tetragonal
Calculated total energy ... -15.2 eV for the cell shown
Spin magnetization ... 0.00 μB/atom
Polymorph energy (0 for the lowest one) ... 0 meV per atom

Unit cell a=3.564 b=3.564 c=11.167 alpha=90.00 beta=90.00 gamma=90.00
Positions (direct):
1 Na 0.500 0.500 0.500
2 Tm 0.500 0.500 0.000
3 La 0.000 0.000 0.770
4 La 0.000 0.000 0.230

***

9.
DFT (PBE) results for a relaxed structure of NaLaTm.

## Properties
ΔH_f (0 K) ... 0.149 eV/atom
Crystal system ... monoclinic
Calculated total energy ... -20.5 eV for the cell shown
Spin magnetization ... 0.00 μB/atom
Polymorph energy (0 for the lowest one) ... 15 meV per atom

Unit cell a=5.698 b=5.698 c=7.295 alpha=90.00 beta=90.01 gamma=60.00
Positions (direct):
1 Na 0.629 0.979 0.792
2 Na 0.961 0.313 0.789
3 La 0.296 0.645 0.522
4 La 0.295 0.645 0.059
5 Tm 0.629 0.978 0.292
6 Tm 0.962 0.311 0.290

***

10.
DFT (PBE) results for a relaxed structure of Na3LaV.

## Properties
ΔH_f (0 K) ... 0.965 eV/atom
Crystal system ... cubic
Calculated total energy ... -13.2 eV for the cell shown
Spin magnetization ... 0.85 μB/atom

Unit cell a=5.574 b=5.574 c=5.574 alpha=90.00 beta=90.00 gamma=90.00
Each line ends with the local moment (μB).
Positions (direct):
1 Na 0.000 0.500 0.000  0.03
2 Na 0.000 0.000 0.500  0.03
3 Na 0.500 0.000 0.000  0.03
4 La 0.500 0.500 0.500  -0.06
5 V 0.000 0.000 0.000  3.27

***

11.
DFT (PBE) results for a relaxed structure of NaLaW2.

## Properties
ΔH_f (0 K) ... 1.666 eV/atom
Crystal system ... cubic
Calculated total energy ... -25.5 eV for the cell shown
Spin magnetization ... 0.00 μB/atom
Polymorph energy (0 for the lowest one) ... 0 meV per atom

Unit cell a=4.868 b=4.868 c=4.868 alpha=60.00 beta=60.00 gamma=60.00
Positions (direct):
1 Na 0.000 0.000 0.000
2 W 0.250 0.250 0.250
3 W 0.750 0.750 0.750
4 La 0.500 0.500 0.500

***

12.
DFT (PBE) results for a relaxed structure of NaLa3W.

## Properties
ΔH_f (0 K) ... 0.420 eV/atom
Crystal system ... cubic
Calculated total energy ... -27.0 eV for the cell shown
Spin magnetization ... 0.00 μB/atom
Polymorph energy (0 for the lowest one) ... 0 meV per atom

Unit cell a=5.710 b=5.710 c=5.710 alpha=90.00 beta=90.00 gamma=90.00
Positions (direct):
1 Na 0.500 0.500 0.500
2 W 0.000 0.000 0.000
3 La 0.000 0.500 0.000
4 La 0.000 0.000 0.500
5 La 0.500 0.000 0.000